No. 1
DFT (PBE-GGA) results for crystalline B7C5 at its relaxed geometry.

Unit cell a=5.965 b=5.965 c=5.502 alpha=98.95 beta=98.95 gamma=26.11
Fractional coordinates of all 12 atoms:
C (0.653, 0.653, 0.828)
C (0.588, 0.588, 0.048)
B (0.568, 0.568, 0.571)
B (0.249, 0.249, 0.867)
B (0.670, 0.670, 0.297)
B (0.896, 0.896, 0.611)
C (0.327, 0.327, 0.140)
B (0.891, 0.891, 0.225)
B (0.042, 0.042, 0.145)
C (0.339, 0.339, 0.668)
C (0.008, 0.008, 0.452)
B (0.270, 0.270, 0.397)

Results
Its density of states at the Fermi level is 0.08 states/eV/atom. As for the space group: Cm, No. 8. The final energy is -88.82 eV/cell. The value obtained for the formation energy is 0.34 eV/atom.

No. 2
DFT (PBE-GGA) results for crystalline B3C at its relaxed geometry.

Unit cell a=6.240 b=6.240 c=3.837 alpha=90.00 beta=90.00 gamma=141.48
Fractional coordinates of all 12 atoms:
C (0.500, 0.500, 0.000)
B (0.315, 0.685, 0.500)
B (0.716, 0.606, 0.674)
C (0.000, 0.500, 0.245)
B (0.807, 0.193, 0.000)
B (0.685, 0.315, 0.500)
C (0.500, 0.000, 0.755)
B (0.193, 0.807, 0.000)
B (0.606, 0.716, 0.326)
B (0.000, 0.000, 0.500)
B (0.284, 0.394, 0.674)
B (0.394, 0.284, 0.326)

Results
Its density of states at the Fermi level is 0.25 states/eV/atom. As for the space group: C222, No. 21. The final energy is -82.87 eV/cell. The value obtained for the formation energy is 0.41 eV/atom.

No. 3
DFT (PBE-GGA) results for crystalline BC at its relaxed geometry.

Unit cell a=2.621 b=4.940 c=6.200 alpha=105.93 beta=90.00 gamma=90.00
Fractional coordinates of all 12 atoms:
C (0.000, 0.013, 0.271)
B (0.500, 0.561, 0.991)
C (0.500, 0.151, 0.689)
C (0.000, 0.680, 0.901)
B (0.000, 0.267, 0.581)
B (0.000, 0.655, 0.636)
B (0.500, 0.828, 0.322)
C (0.500, 0.462, 0.214)
C (0.500, 0.839, 0.577)
B (0.000, 0.380, 0.336)
B (0.500, 0.171, 0.960)
C (0.000, 0.992, 0.024)

Results
Its density of states at the Fermi level is 0.10 states/eV/atom. As for the space group: Pm, No. 6. The final energy is -91.42 eV/cell. The value obtained for the formation energy is 0.33 eV/atom.

No. 4
DFT (PBE-GGA) results for crystalline BC at its relaxed geometry.

Unit cell a=12.613 b=12.613 c=12.613 alpha=12.04 beta=12.04 gamma=12.04
Fractional coordinates of all 10 atoms:
C (0.194, 0.194, 0.194)
C (0.006, 0.006, 0.006)
B (0.623, 0.623, 0.623)
C (0.354, 0.354, 0.354)
B (0.530, 0.530, 0.530)
C (0.394, 0.394, 0.394)
B (0.151, 0.151, 0.151)
C (0.962, 0.962, 0.962)
B (0.745, 0.745, 0.745)
B (0.790, 0.790, 0.790)

Results
Its density of states at the Fermi level is 0.25 states/eV/atom. As for the space group: R3m, No. 160. The final energy is -75.62 eV/cell. The value obtained for the formation energy is 0.39 eV/atom.

No. 5
DFT (PBE-GGA) results for crystalline BC at its relaxed geometry.

Unit cell a=2.687 b=7.379 c=5.008 alpha=90.00 beta=90.00 gamma=90.00
Fractional coordinates of all 12 atoms:
C (0.000, 0.199, 0.270)
B (0.500, 0.303, 0.225)
B (0.000, 0.000, 0.393)
B (0.500, 0.697, 0.225)
C (0.500, 0.000, 0.619)
B (0.500, 0.803, 0.725)
C (0.000, 0.801, 0.270)
C (0.500, 0.500, 0.119)
C (0.000, 0.699, 0.770)
B (0.500, 0.197, 0.725)
B (0.000, 0.500, 0.893)
C (0.000, 0.301, 0.770)

Results
Its density of states at the Fermi level is 0.17 states/eV/atom. As for the space group: Amm2, No. 38. The final energy is -88.41 eV/cell. The value obtained for the formation energy is 0.58 eV/atom.

No. 6
DFT (PBE-GGA) results for crystalline B7C5 at its relaxed geometry.

Unit cell a=2.674 b=3.721 c=8.708 alpha=85.37 beta=90.00 gamma=90.00
Fractional coordinates of all 12 atoms:
C (0.000, 0.024, 0.685)
B (0.500, 0.692, 0.301)
B (0.500, 0.595, 0.514)
B (0.000, 0.865, 0.398)
C (0.000, 0.251, 0.831)
C (0.500, 0.472, 0.158)
B (0.000, 0.236, 0.508)
B (0.500, 0.815, 0.030)
B (0.000, 0.290, 0.118)
C (0.500, 0.797, 0.677)
B (0.500, 0.461, 0.796)
C (0.000, 0.002, 0.983)

Results
Its density of states at the Fermi level is 0.06 states/eV/atom. As for the space group: Pm, No. 6. The final energy is -88.26 eV/cell. The value obtained for the formation energy is 0.38 eV/atom.

No. 7
DFT (PBE-GGA) results for crystalline BC at its relaxed geometry.

Unit cell a=10.985 b=10.985 c=10.985 alpha=167.35 beta=166.71 gamma=18.39
Fractional coordinates of all 10 atoms:
B (0.801, 0.801, 0.000)
B (0.204, 0.204, 0.000)
B (0.864, 0.364, 0.500)
C (0.452, 0.952, 0.500)
B (0.645, 0.145, 0.500)
C (0.256, 0.756, 0.500)
C (0.996, 0.996, 0.000)
C (0.036, 0.536, 0.500)
B (0.584, 0.584, 0.000)
C (0.412, 0.412, 0.000)

Results
Its density of states at the Fermi level is 0.25 states/eV/atom. As for the space group: Imm2, No. 44. The final energy is -75.79 eV/cell. The value obtained for the formation energy is 0.37 eV/atom.

No. 8
DFT (PBE-GGA) results for crystalline B3C at its relaxed geometry.

Unit cell a=4.261 b=4.261 c=9.516 alpha=57.87 beta=57.87 gamma=35.02
Fractional coordinates of all 12 atoms:
B (0.005, 0.005, 0.515)
B (0.678, 0.678, 0.128)
B (0.525, 0.525, 0.366)
B (0.703, 0.703, 0.630)
C (0.162, 0.162, 0.033)
C (0.327, 0.327, 0.843)
B (0.979, 0.979, 0.009)
B (0.516, 0.516, 0.857)
B (0.318, 0.318, 0.345)
B (0.805, 0.805, 0.750)
C (0.182, 0.182, 0.547)
B (0.799, 0.799, 0.226)

Results
Its density of states at the Fermi level is 0.08 states/eV/atom. As for the space group: Cm, No. 8. The final energy is -83.00 eV/cell. The value obtained for the formation energy is 0.40 eV/atom.

No. 9
DFT (PBE-GGA) results for crystalline B7C5 at its relaxed geometry.

Unit cell a=6.935 b=7.469 c=7.469 alpha=160.17 beta=139.74 gamma=45.64
Fractional coordinates of all 12 atoms:
C (0.616, 0.301, 0.315)
C (0.549, 0.843, 0.706)
C (0.133, 0.457, 0.677)
B (0.587, 0.195, 0.392)
B (0.986, 0.981, 0.005)
B (0.603, 0.964, 0.639)
B (0.997, 0.336, 0.661)
B (0.157, 0.783, 0.374)
B (0.648, 0.621, 0.027)
C (0.017, 0.663, 0.354)
C (0.467, 0.501, 0.966)
B (0.989, 0.105, 0.884)

Results
Its density of states at the Fermi level is 0.09 states/eV/atom. As for the space group: Cm, No. 8. The final energy is -88.36 eV/cell. The value obtained for the formation energy is 0.38 eV/atom.

No. 10
DFT (PBE-GGA) results for crystalline BC at its relaxed geometry.

Unit cell a=7.210 b=7.277 c=7.277 alpha=159.29 beta=143.07 gamma=42.77
Fractional coordinates of all 12 atoms:
C (0.489, 0.490, 0.999)
B (0.104, 0.778, 0.326)
C (0.479, 0.159, 0.321)
B (0.995, 0.992, 0.003)
B (0.630, 0.633, 0.997)
C (0.002, 0.659, 0.342)
B (0.616, 0.275, 0.340)
B (0.521, 0.847, 0.674)
C (0.623, 0.966, 0.658)
C (0.136, 0.135, 0.001)
B (0.009, 0.350, 0.660)
C (0.146, 0.466, 0.679)

Results
Its density of states at the Fermi level is 0.22 states/eV/atom. As for the space group: C2/m, No. 12. The final energy is -90.77 eV/cell. The value obtained for the formation energy is 0.39 eV/atom.

No. 11
DFT (PBE-GGA) results for crystalline B7C5 at its relaxed geometry.

Unit cell a=2.632 b=2.632 c=13.909 alpha=90.00 beta=90.00 gamma=120.00
Fractional coordinates of all 12 atoms:
B (0.333, 0.667, 0.669)
B (0.000, 0.000, 0.481)
B (0.667, 0.333, 0.827)
C (0.000, 0.000, 0.015)
C (0.667, 0.333, 0.717)
B (0.000, 0.000, 0.344)
B (0.000, 0.000, 0.901)
B (0.667, 0.333, 0.206)
C (0.333, 0.667, 0.163)
C (0.667, 0.333, 0.330)
C (0.333, 0.667, 0.054)
B (0.333, 0.667, 0.545)

Results
Its density of states at the Fermi level is 0.23 states/eV/atom. As for the space group: P3m1, No. 156. The final energy is -86.80 eV/cell. The value obtained for the formation energy is 0.50 eV/atom.

No. 12
DFT (PBE-GGA) results for crystalline B7C5 at its relaxed geometry.

Unit cell a=7.395 b=7.098 c=7.098 alpha=157.88 beta=143.12 gamma=43.17
Fractional coordinates of all 12 atoms:
C (0.017, 0.004, 0.013)
C (0.142, 0.467, 0.675)
B (0.041, 0.672, 0.369)
B (0.657, 0.985, 0.672)
B (0.040, 0.344, 0.696)
B (0.616, 0.619, 0.997)
B (0.448, 0.177, 0.270)
C (0.496, 0.500, 0.996)
C (0.116, 0.795, 0.321)
C (0.090, 0.117, 0.973)
B (0.433, 0.772, 0.661)
B (0.654, 0.298, 0.356)

Results
Its density of states at the Fermi level is 0.15 states/eV/atom. As for the space group: Cm, No. 8. The final energy is -87.44 eV/cell. The value obtained for the formation energy is 0.45 eV/atom.

No. 13
DFT (PBE-GGA) results for crystalline BC at its relaxed geometry.

Unit cell a=6.803 b=6.803 c=6.803 alpha=159.20 beta=159.20 gamma=29.58
Fractional coordinates of all 6 atoms:
B (0.017, 0.017, 0.000)
B (0.317, 0.317, 0.000)
C (0.235, 0.735, 0.500)
C (0.667, 0.667, 0.000)
B (0.917, 0.417, 0.500)
C (0.599, 0.099, 0.500)

Results
Its density of states at the Fermi level is 0.16 states/eV/atom. As for the space group: I-4m2, No. 119. The final energy is -45.51 eV/cell. The value obtained for the formation energy is 0.37 eV/atom.

No. 14
DFT (PBE-GGA) results for crystalline BC at its relaxed geometry.

Unit cell a=4.502 b=4.502 c=8.466 alpha=119.41 beta=119.41 gamma=32.69
Fractional coordinates of all 12 atoms:
C (0.485, 0.485, 0.392)
C (0.679, 0.679, 0.802)
B (0.309, 0.309, 0.179)
C (0.178, 0.178, 0.700)
B (0.329, 0.329, 0.643)
B (0.646, 0.646, 0.343)
B (0.820, 0.820, 0.029)
B (0.030, 0.030, 0.015)
C (0.841, 0.841, 0.539)
C (0.992, 0.992, 0.499)
B (0.551, 0.551, 0.882)
C (0.140, 0.140, 0.227)

Results
Its density of states at the Fermi level is 0.06 states/eV/atom. As for the space group: Cm, No. 8. The final energy is -90.81 eV/cell. The value obtained for the formation energy is 0.38 eV/atom.

No. 15
DFT (PBE-GGA) results for crystalline B7C5 at its relaxed geometry.

Unit cell a=2.726 b=2.726 c=15.140 alpha=90.00 beta=90.00 gamma=120.00
Fractional coordinates of all 12 atoms:
C (0.667, 0.333, 0.323)
B (0.000, 0.000, 0.059)
B (0.333, 0.667, 0.662)
B (0.000, 0.000, 0.521)
B (0.333, 0.667, 0.177)
B (0.000, 0.000, 0.820)
C (0.667, 0.333, 0.705)
C (0.333, 0.667, 0.068)
B (0.000, 0.000, 0.338)
C (0.667, 0.333, 0.222)
C (0.667, 0.333, 0.808)
B (0.333, 0.667, 0.547)

Results
Its density of states at the Fermi level is 0.18 states/eV/atom. As for the space group: P3m1, No. 156. The final energy is -87.52 eV/cell. The value obtained for the formation energy is 0.45 eV/atom.

No. 16
DFT (PBE-GGA) results for crystalline BC at its relaxed geometry.

Unit cell a=2.601 b=3.946 c=8.107 alpha=89.05 beta=90.00 gamma=90.00
Fractional coordinates of all 12 atoms:
C (0.000, 0.017, 0.988)
B (0.500, 0.498, 0.538)
C (0.000, 0.998, 0.336)
B (0.500, 0.452, 0.806)
C (0.500, 0.511, 0.160)
C (0.000, 0.983, 0.678)
B (0.000, 0.245, 0.164)
B (0.500, 0.800, 0.294)
B (0.000, 0.206, 0.498)
B (0.500, 0.800, 0.027)
C (0.000, 0.223, 0.834)
C (0.500, 0.766, 0.678)

Results
Its density of states at the Fermi level is 0.12 states/eV/atom. As for the space group: Pm, No. 6. The final energy is -91.47 eV/cell. The value obtained for the formation energy is 0.33 eV/atom.

No. 17
DFT (PBE-GGA) results for crystalline B3C at its relaxed geometry.

Unit cell a=2.765 b=3.863 c=8.124 alpha=90.00 beta=90.00 gamma=90.00
Fractional coordinates of all 12 atoms:
B (0.000, 0.727, 0.307)
B (0.500, 0.258, 0.804)
B (0.500, 0.258, 0.196)
B (0.500, 0.359, 0.000)
B (0.000, 0.103, 0.500)
B (0.000, 0.021, 0.124)
C (0.500, 0.304, 0.500)
B (0.000, 0.021, 0.876)
B (0.000, 0.664, 0.000)
C (0.500, 0.529, 0.340)
C (0.500, 0.529, 0.660)
B (0.000, 0.727, 0.693)

Results
Its density of states at the Fermi level is 0.11 states/eV/atom. As for the space group: Pmm2, No. 25. The final energy is -80.79 eV/cell. The value obtained for the formation energy is 0.58 eV/atom.

No. 18
DFT (PBE-GGA) results for crystalline B7C5 at its relaxed geometry.

Unit cell a=2.710 b=4.711 c=6.612 alpha=89.03 beta=90.00 gamma=90.00
Fractional coordinates of all 12 atoms:
C (0.500, 0.168, 0.892)
C (0.000, 0.672, 0.672)
B (0.000, 0.322, 0.311)
B (0.500, 0.481, 0.420)
C (0.000, 0.667, 0.908)
B (0.500, 0.900, 0.333)
B (0.500, 0.142, 0.653)
B (0.000, 0.364, 0.571)
C (0.000, 0.007, 0.239)
C (0.500, 0.803, 0.575)
B (0.000, 0.987, 0.988)
B (0.500, 0.489, 0.938)

Results
Its density of states at the Fermi level is 0.06 states/eV/atom. As for the space group: Pm, No. 6. The final energy is -87.78 eV/cell. The value obtained for the formation energy is 0.42 eV/atom.

No. 19
DFT (PBE-GGA) results for crystalline B3C2 at its relaxed geometry.

Unit cell a=4.814 b=4.814 c=7.051 alpha=62.06 beta=62.06 gamma=31.25
Fractional coordinates of all 10 atoms:
C (0.603, 0.603, 0.831)
B (0.757, 0.757, 0.063)
B (0.393, 0.393, 0.333)
C (0.613, 0.613, 0.602)
B (0.058, 0.058, 0.971)
B (0.426, 0.426, 0.683)
B (0.173, 0.173, 0.254)
C (0.997, 0.997, 0.235)
B (0.783, 0.783, 0.808)
C (0.196, 0.196, 0.469)

Results
Its density of states at the Fermi level is 0.08 states/eV/atom. As for the space group: Cm, No. 8. The final energy is -72.38 eV/cell. The value obtained for the formation energy is 0.46 eV/atom.

No. 20
DFT (PBE-GGA) results for crystalline B7C5 at its relaxed geometry.

Unit cell a=5.744 b=5.910 c=4.169 alpha=90.00 beta=90.00 gamma=143.31
Fractional coordinates of all 12 atoms:
C (0.690, 0.842, 0.761)
B (0.833, 0.667, 0.213)
B (0.333, 0.667, 0.928)
B (0.508, 0.504, 0.545)
C (0.654, 0.320, 0.975)
B (0.833, 0.167, 0.549)
B (0.499, 0.028, 0.239)
C (0.333, 0.167, 0.768)
C (0.977, 0.491, 0.761)
C (0.012, 0.013, 0.975)
B (0.159, 0.829, 0.545)
B (0.168, 0.305, 0.239)

Results
Its density of states at the Fermi level is 0.16 states/eV/atom. As for the space group: P2, No. 3. The final energy is -88.12 eV/cell. The value obtained for the formation energy is 0.39 eV/atom.